(1)
# AcNbTc

An optimized crystal structure of AcNbTc (PBE, OQMD).

Computed properties:
Its space-group type is F-43m, No. 216. The calculation puts the final energy at -19.56 eV per formula unit. The calculation puts the formation energy at 1.667 eV per atom. For the energy above the most stable polymorph in this dataset, the calculation gives 0.849 eV per atom.

The structure in POSCAR format:
```
AcNbTc
1.0
0.000 3.316 3.316
3.316 0.000 3.316
3.316 3.316 0.000
Ac Nb Tc
1 1 1
Cartesian
0.000 0.000 0.000
1.658 1.658 1.658
4.974 4.974 4.974
```

=====

(2)
# Er3Cu4Sn2Ge2

An optimized crystal structure of Er3Cu4Sn2Ge2 (PBE, OQMD).

Computed properties:
Its space-group type is Immm, No. 71. The calculation puts the final energy at -51.46 eV per formula unit.

The structure in POSCAR format:
```
Er3Cu4Sn2Ge2
1.0
7.999 -1.093 -1.413
4.646 -4.165 5.314
-6.306 0.236 -5.231
Cu Er Ge Sn
4 3 2 2
Cartesian
4.611 -1.964 -0.810
9.090 -3.827 0.572
-2.750 -1.195 -1.902
1.729 -3.057 -0.521
0.000 0.000 0.000
2.558 -1.139 -2.794
3.782 -3.882 1.464
2.738 -1.138 0.844
9.908 -4.120 3.056
6.666 -2.802 0.606
-0.326 -2.219 -1.936
```